# 1
Entry from the Alexandria database: an optimized crystal structure of SnPb2Se3 (PBE-GGA).

Calculated values
Total energy in eV/atom: -4.165
V in Å³/atom: 29.191
Magnetic moment in Bohr magnetons per cell: 0.0
Mass density in Mg/m³: 7.3

Cell: 7.548 7.548 7.548 Å, 146.50 131.88 59.91°
Fractional positions:
Sn: 0.000 0.000 0.000
Pb: 0.332 0.332 0.000
Pb: 0.668 0.668 0.000
Se: 0.162 0.662 0.500
Se: 0.500 0.000 0.500
Se: 0.838 0.338 0.500


# 2
Entry from the Alexandria database: an optimized crystal structure of ScCdTcO6 (PBE-GGA).

Calculated values
Total energy in eV/atom: -7.043
V in Å³/atom: 12.901
Magnetic moment in Bohr magnetons per cell: 0.0
Mass density in Mg/m³: 5.0

Cell: 5.292 5.292 9.575 Å, 90.00 90.00 120.00°
Fractional positions:
Sc: 0.333 0.667 0.250
Sc: 0.667 0.333 0.750
Cd: 0.000 0.000 0.000
Cd: 0.000 0.000 0.500
Tc: 0.333 0.667 0.750
Tc: 0.667 0.333 0.250
O: 0.028 0.377 0.639
O: 0.028 0.652 0.861
O: 0.348 0.377 0.861
O: 0.348 0.972 0.639
O: 0.377 0.028 0.139
O: 0.377 0.348 0.361
O: 0.623 0.652 0.639
O: 0.623 0.972 0.861
O: 0.652 0.028 0.361
O: 0.652 0.623 0.139
O: 0.972 0.348 0.139
O: 0.972 0.623 0.361


# 3
Entry from the Alexandria database: an optimized crystal structure of BaAl2MoN (PBE-GGA).

Calculated values
Total energy in eV/atom: -5.136
V in Å³/atom: 20.338
Magnetic moment in Bohr magnetons per cell: 0.4
Mass density in Mg/m³: 4.9
N(E_F) in states/eV/cell: 5.480

Cell: 5.017 5.017 4.039 Å, 90.00 90.00 90.00°
Fractional positions:
Ba: 0.000 0.000 0.000
Al: 0.000 0.500 0.500
Al: 0.500 0.000 0.500
Mo: 0.500 0.500 0.000
N: 0.500 0.500 0.500


# 4
Entry from the Alexandria database: an optimized crystal structure of SrLi2SbS4 (PBE-GGA).

Calculated values
Total energy in eV/atom: -4.280
V in Å³/atom: 21.475
Magnetic moment in Bohr magnetons per cell: 0.0
Mass density in Mg/m³: 3.4
N(E_F) in states/eV/cell: 4.357

Cell: 7.860 7.860 7.860 Å, 121.04 118.80 90.15°
Fractional positions:
Sr: 0.000 0.000 0.000
Sr: 0.500 0.000 0.500
Li: 0.000 0.500 0.500
Li: 0.500 0.000 0.000
Li: 0.500 0.500 0.000
Li: 0.500 0.500 0.500
Sb: 0.000 0.000 0.500
Sb: 0.000 0.500 0.000
S: 0.229 0.737 0.492
S: 0.237 0.258 0.520
S: 0.237 0.717 0.980
S: 0.255 0.263 0.992
S: 0.745 0.737 0.008
S: 0.763 0.283 0.020
S: 0.763 0.742 0.480
S: 0.771 0.263 0.508